(1)
Tb5PrSm7: optimized geometry, PBE.

The space group is Imm2 (No. 44) and the conventional cell measures 6.7235, 11.3232 and 11.7456 Å, with angles of 90.00, 90.00 and 90.00 degrees. The inequivalent atoms are Tb at (0.0000, 0.0000, 0.0000), Tb at (0.2349, 0.2691, 0.5016), Pr at (0.0000, 0.5000, 0.6990), Sm at (0.0000, 0.0000, 0.5027), Sm at (0.0000, 0.1704, 0.2519), Sm at (0.0000, 0.1703, 0.7520), Sm at (0.0000, 0.5000, 0.0039) and Sm at (0.0000, 0.5000, 0.3091).

The total energy comes out at -4.460 eV/atom. Its formation energy from the elements is 0.23 eV per atom. Its size of the total moment is 0.00 μB/cell.

(2)
CeDyAgHg: optimized geometry, PBE.

The space group is F-43m (No. 216) and the conventional cell measures 7.4697, 7.4697 and 7.4697 Å, with angles of 90.00, 90.00 and 90.00 degrees. The inequivalent atoms are Ce at (0.0000, 0.0000, 0.0000), Dy at (0.0000, 0.0000, 0.5000), Ag at (0.2500, 0.2500, 0.7500) and Hg at (0.2500, 0.2500, 0.2500).

The total energy comes out at -3.691 eV/atom. Its formation energy from the elements is -0.27 eV per atom. Its size of the total moment is 4.01 μB/cell.

(3)
CrCuHg2: optimized geometry, PBE.

The space group is I-4m2 (No. 119) and the conventional cell measures 4.0513, 4.0513 and 8.9225 Å, with angles of 90.00, 90.00 and 90.00 degrees. The inequivalent atoms are Cr at (0.0000, 0.0000, 0.0000), Cu at (0.0000, 0.5000, 0.7500), Hg at (0.0000, 0.0000, 0.5000) and Hg at (0.0000, 0.5000, 0.2500).

The total energy comes out at -3.210 eV/atom. Its formation energy from the elements is 0.37 eV per atom. The distance to the lowest polymorph of the same formula comes out at 35.6 meV/atom. Its size of the total moment is 8.38 μB/cell.

(4)
Al3TcC: optimized geometry, PBE.

The space group is Pm-3m (No. 221) and the conventional cell measures 4.0190, 4.0190 and 4.0190 Å, with angles of 90.00, 90.00 and 90.00 degrees. The inequivalent atoms are Al at (0.0000, 0.0000, 0.5000), Tc at (0.5000, 0.5000, 0.5000) and C at (0.0000, 0.0000, 0.0000).

The total energy comes out at -5.850 eV/atom. Its formation energy from the elements is 0.31 eV per atom. The distance to the lowest polymorph of the same formula comes out at 0.0 meV/atom. Its size of the total moment is 0.00 μB/cell.

(5)
Cd2NiSn: optimized geometry, PBE.

The space group is R-3m (No. 166, hexagonal axes) and the conventional cell measures 3.0279, 3.0279 and 33.3170 Å, with angles of 90.00, 90.00 and 120.00 degrees. The inequivalent atoms are Cd at (0.0000, 0.0000, 0.0775), Ni at (0.0000, 0.0000, 0.0000) and Sn at (0.0000, 0.0000, 0.5000).

The total energy comes out at -2.461 eV/atom. Its formation energy from the elements is 0.44 eV per atom. Its size of the total moment is 1.32 μB/cell.

(6)
Zr3TaV: optimized geometry, PBE.

The space group is Pm-3m (No. 221) and the conventional cell measures 4.8366, 4.8366 and 4.8366 Å, with angles of 90.00, 90.00 and 90.00 degrees. The inequivalent atoms are Zr at (0.0000, 0.0000, 0.5000), Ta at (0.5000, 0.5000, 0.5000) and V at (0.0000, 0.0000, 0.0000).

The total energy comes out at -8.420 eV/atom. Its formation energy from the elements is 0.90 eV per atom. The distance to the lowest polymorph of the same formula comes out at 0.0 meV/atom. Its size of the total moment is 0.00 μB/cell.

(7)
DyHg2Au: optimized geometry, PBE.

The space group is Fm-3m (No. 225) and the conventional cell measures 7.0580, 7.0580 and 7.0580 Å, with angles of 90.00, 90.00 and 90.00 degrees. The inequivalent atoms are Dy at (0.0000, 0.0000, 0.0000), Hg at (0.2500, 0.2500, 0.2500) and Au at (0.0000, 0.0000, 0.5000).

The total energy comes out at -2.533 eV/atom. Its formation energy from the elements is -0.41 eV per atom. The distance to the lowest polymorph of the same formula comes out at 38.3 meV/atom. Its size of the total moment is 0.00 μB/cell.

(8)
SbPNO2: optimized geometry, PBE.

The space group is P4/mmm (No. 123) and the conventional cell measures 3.7056, 3.7056 and 3.8413 Å, with angles of 90.00, 90.00 and 90.00 degrees. The inequivalent atoms are Sb at (0.0000, 0.0000, 0.0000), P at (0.5000, 0.5000, 0.5000), N at (0.5000, 0.5000, 0.0000) and O at (0.0000, 0.5000, 0.5000).

The total energy comes out at -5.774 eV/atom. For the uncorrected formation energy, the calculation gives -1.09 eV per formula unit. Its size of the total moment is 0.00 μB/cell.

Calculated density: 7.4; 9.7; 11.7; 4.9; 7.6; 7.4; 14.4; 6.3 (g cm⁻³)